# 1
! Nd6HIr2Br3 | Alexandria via LeMat-Bulk | PBE | optimized geometry; values from VASP
! final energy: -66.2 eV for the cell shown
&SYSTEM
  ibrav = 0, nat = 12, ntyp = 4
/
ATOMIC_SPECIES
Nd 144.24 Nd.upf
H 1.01 H.upf
Ir 192.22 Ir.upf
Br 79.90 Br.upf
ATOMIC_POSITIONS crystal
Nd 0.101 0.435 0.804
Nd 0.231 0.231 0.195
Nd 0.435 0.101 0.804
Nd 0.565 0.899 0.196
Nd 0.769 0.769 0.805
Nd 0.899 0.565 0.196
H 0.500 0.500 0.000
Ir 0.167 0.833 0.000
Ir 0.833 0.167 0.000
Br 0.000 0.000 0.500
Br 0.331 0.669 0.500
Br 0.669 0.331 0.500
CELL_PARAMETERS angstrom
3.540 -6.123 0.000
3.540 6.123 0.000
-2.367 0.000 7.796

# 2
! HIrPbBr2 | Alexandria via LeMat-Bulk | PBE | optimized geometry; values from VASP
! final energy: -14.8 eV for the cell shown
&SYSTEM
  ibrav = 0, nat = 5, ntyp = 4
/
ATOMIC_SPECIES
H 1.01 H.upf
Ir 192.22 Ir.upf
Pb 207.20 Pb.upf
Br 79.90 Br.upf
ATOMIC_POSITIONS crystal
H 0.000 0.000 0.000
Ir 0.500 0.500 0.500
Pb 0.000 0.000 0.500
Br 0.000 0.500 0.000
Br 0.500 0.000 0.000
CELL_PARAMETERS angstrom
5.201 0.000 0.000
0.000 5.201 0.000
0.000 0.000 3.748

# 3
! Pm8HIr3Br4 | Alexandria via LeMat-Bulk | PBE | optimized geometry; values from VASP
! final energy: -90.6 eV for the cell shown
&SYSTEM
  ibrav = 0, nat = 16, ntyp = 4
/
ATOMIC_SPECIES
Pm 145.00 Pm.upf
H 1.01 H.upf
Ir 192.22 Ir.upf
Br 79.90 Br.upf
ATOMIC_POSITIONS crystal
Pm 0.231 0.732 0.732
Pm 0.232 0.232 0.232
Pm 0.268 0.268 0.769
Pm 0.268 0.769 0.268
Pm 0.732 0.231 0.732
Pm 0.732 0.732 0.231
Pm 0.768 0.768 0.768
Pm 0.769 0.268 0.268
H 0.500 0.500 0.500
Ir 0.000 0.000 0.500
Ir 0.000 0.500 0.000
Ir 0.500 0.000 0.000
Br 0.000 0.000 0.000
Br 0.000 0.500 0.500
Br 0.500 0.000 0.500
Br 0.500 0.500 0.000
CELL_PARAMETERS angstrom
4.079 2.355 7.736
-4.079 2.355 7.736
0.000 -4.710 7.736